#a
A relaxed structure of KSrNb, computed with PBE.

Lattice parameters (Å, degrees): 6.2374 6.2374 7.2306 90.00 90.00 120.00
Closest atoms and distances in Å follow each position.
Sites, in units of the cell vectors:
Sr (0.3333, 0.6667, 0.7500)  5 Nb 3.60-3.62, 6 K 4.03
Sr (0.6667, 0.3333, 0.2500)  5 Nb 3.60-3.62, 6 K 4.03
K (0.0000, 0.0000, 0.0000)  2 K 3.62, 6 Sr 4.03, 6 Nb 4.03
K (0.0000, 0.0000, 0.5000)  2 K 3.62, 6 Nb 4.03, 6 Sr 4.03
Nb (0.3333, 0.6667, 0.2500)  5 Sr 3.60-3.62, 6 K 4.03
Nb (0.6667, 0.3333, 0.7500)  5 Sr 3.60-3.62, 6 K 4.03

Calculated density in Mg/m³: 3.0
Symmetry: No. 194



#b
A relaxed structure of KSrNb, computed with PBE.

Lattice parameters (Å, degrees): 14.4032 6.0345 5.9024 90.00 90.00 90.00
Closest atoms and distances in Å follow each position.
Sites, in units of the cell vectors:
Sr (0.5000, 0.0000, 0.5000)  2 Sr 3.02, 4 Nb 3.32
Sr (0.0000, 0.5000, 0.0000)  2 Sr 3.02, 4 Nb 3.32
Sr (0.5000, 0.5000, 0.5000)  2 Sr 3.02, 4 Nb 3.32
Sr (0.0000, 0.0000, 0.0000)  2 Sr 3.02, 4 Nb 3.32
K (0.2717, 0.7500, 0.9938)  1 Nb 3.51
K (0.7283, 0.2500, 0.0062)  1 Nb 3.51
K (0.2283, 0.2500, 0.4938)  1 Nb 3.51
K (0.7717, 0.7500, 0.5062)  1 Nb 3.51
Nb (0.4847, 0.2500, 0.9999)  2 Nb 3.05, 4 Sr 3.32
Nb (0.5153, 0.7500, 0.0001)  2 Nb 3.05, 4 Sr 3.32
Nb (0.0153, 0.7500, 0.4999)  2 Nb 3.05, 4 Sr 3.32
Nb (0.9847, 0.2500, 0.5001)  2 Nb 3.05, 4 Sr 3.32

Calculated density in Mg/m³: 2.8
Symmetry: No. 62



The structure with the least stability is #a.



#a
A relaxed structure of KSrNb, computed with PBE.

Lattice parameters (Å, degrees): 4.4680 9.8040 6.7504 103.42 70.68 90.06
Closest atoms and distances in Å follow each position.
Sites, in units of the cell vectors:
Nb (0.2488, 0.8342, 0.5137)  1 Nb 2.28
Nb (0.7646, 0.7456, 0.3988)  1 Nb 2.28
Sr (0.2778, 0.4736, 0.3827)  3 Nb 3.43-3.48
Sr (0.5132, 0.6930, 0.9210)  5 Nb 3.49-3.85
K (0.9056, 0.0404, 0.1446)  3 K 3.62-4.02, 3 Nb 3.64-4.05, 2 Sr 4.02-4.04
K (0.6312, 0.1819, 0.7260)  3 K 3.62-4.02, 2 Nb 3.99-4.05

Calculated density in Mg/m³: 2.7
Symmetry: No. 1



#b
A relaxed structure of KSrNb, computed with PBE.

Lattice parameters (Å, degrees): 6.0942 6.0942 8.5856 90.00 90.00 120.00
Closest atoms and distances in Å follow each position.
Sites, in units of the cell vectors:
Sr (0.3333, 0.6667, 0.2796)  3 Nb 3.61, 1 Sr 3.79, 3 K 4.00
Sr (0.3333, 0.6667, 0.7204)  3 Nb 3.61, 1 Sr 3.79, 3 K 4.00
Nb (0.0000, 0.0000, 0.6247)  1 Nb 2.14
Nb (0.0000, 0.0000, 0.3753)  1 Nb 2.14
K (0.6667, 0.3333, 0.0000)  6 Sr 4.26, 2 K 4.29
K (0.6667, 0.3333, 0.5000)  6 Nb 3.68, 6 Sr 4.00

Calculated density in Mg/m³: 2.6
Symmetry: No. 187



The structure with the least stability is #b.



#a
A relaxed structure of KSrNb, computed with PBE.

Lattice parameters (Å, degrees): 5.9285 5.9285 5.9285 60.00 60.00 60.00
Closest atoms and distances in Å follow each position.
Sites, in units of the cell vectors:
Nb (0.5000, 0.5000, 0.5000)  4 Sr 3.63, 4 K 3.63
K (0.2500, 0.2500, 0.2500)  4 Nb 3.63
Sr (0.7500, 0.7500, 0.7500)  4 Nb 3.63

Calculated density in Mg/m³: 2.5
Symmetry: No. 216



#b
A relaxed structure of KSrNb, computed with PBE.

Lattice parameters (Å, degrees): 4.5502 6.9273 16.2020 90.00 90.00 90.00
Closest atoms and distances in Å follow each position.
Sites, in units of the cell vectors:
Sr (0.2633, 0.2500, 0.0619)  3 Nb 3.45-3.48, 2 K 3.86
Sr (0.7633, 0.2500, 0.4381)  3 Nb 3.45-3.48, 2 K 3.86
Sr (0.2367, 0.7500, 0.5619)  3 Nb 3.45-3.48, 2 K 3.86
Sr (0.7367, 0.7500, 0.9381)  3 Nb 3.45-3.48, 2 K 3.86
Nb (0.2576, 0.2500, 0.2766)  2 Nb 2.43
Nb (0.7424, 0.7500, 0.7234)  2 Nb 2.43
Nb (0.7576, 0.2500, 0.2234)  2 Nb 2.43
Nb (0.2424, 0.7500, 0.7766)  2 Nb 2.43
K (0.7036, 0.7500, 0.3347)  2 K 3.57, 2 Sr 3.86, 2 Nb 3.91
K (0.7964, 0.2500, 0.8347)  2 K 3.57, 2 Sr 3.86, 2 Nb 3.91
K (0.2964, 0.2500, 0.6653)  2 K 3.57, 2 Sr 3.86, 2 Nb 3.91
K (0.2036, 0.7500, 0.1653)  2 K 3.57, 2 Sr 3.86, 2 Nb 3.91

Calculated density in Mg/m³: 2.9
Symmetry: No. 62



#c
A relaxed structure of KSrNb, computed with PBE.

Lattice parameters (Å, degrees): 7.0095 7.0095 12.5456 90.00 90.00 120.00
Closest atoms and distances in Å follow each position.
Sites, in units of the cell vectors:
Nb (0.0000, 0.0000, 0.0000)  2 Sr 3.14
Nb (0.0000, 0.0000, 0.5000)  2 Sr 3.14
Sr (0.0000, 0.0000, 0.7500)  2 Nb 3.14
Sr (0.0000, 0.0000, 0.2500)  2 Nb 3.14
K (0.6667, 0.3333, 0.7500)  3 Sr 4.05
K (0.3333, 0.6667, 0.2500)  3 Sr 4.05

Calculated density in Mg/m³: 1.4
Symmetry: No. 194



#d
A relaxed structure of KSrNb, computed with PBE.

Lattice parameters (Å, degrees): 5.8763 12.0942 3.5743 93.22 83.28 81.80
Closest atoms and distances in Å follow each position.
Sites, in units of the cell vectors:
K (0.7873, 0.8799, 0.7175)  2 K 3.57, 1 Nb 3.99
K (0.2127, 0.1201, 0.2825)  2 K 3.57, 1 Nb 3.99
Sr (0.6515, 0.3408, 0.9761)  5 Nb 3.34-3.72, 2 Sr 3.57
Sr (0.3485, 0.6592, 0.0239)  5 Nb 3.34-3.72, 2 Sr 3.57
Nb (0.8602, 0.5554, 0.3728)  1 Nb 2.28
Nb (0.1398, 0.4446, 0.6272)  1 Nb 2.28

Calculated density in Mg/m³: 2.9
Symmetry: No. 2



The structure with the least stability is #c.



#a
A relaxed structure of K3SrNb, computed with PBE.

Lattice parameters (Å, degrees): 7.3477 7.3477 7.3477 90.00 90.00 90.00
Closest atoms and distances in Å follow each position.
Sites, in units of the cell vectors:
K (0.0000, 0.5000, 0.0000)  2 Sr 3.67
K (0.0000, 0.0000, 0.5000)  2 Sr 3.67
K (0.5000, 0.0000, 0.0000)  2 Sr 3.67
Sr (0.0000, 0.0000, 0.0000)  6 K 3.67
Nb (0.5000, 0.5000, 0.5000)  12 K 5.20

Calculated density in Mg/m³: 1.2
Symmetry: No. 221



#b
A relaxed structure of K3SrNb, computed with PBE.

Lattice parameters (Å, degrees): 6.7945 6.7945 6.7945 90.00 90.00 90.00
Closest atoms and distances in Å follow each position.
Sites, in units of the cell vectors:
K (0.5000, 0.0000, 0.0000)  2 Nb 3.40
K (0.0000, 0.5000, 0.0000)  2 Nb 3.40
K (0.0000, 0.0000, 0.5000)  2 Nb 3.40
Sr (0.5000, 0.5000, 0.5000)  12 K 4.80
Nb (0.0000, 0.0000, 0.0000)  6 K 3.40

Calculated density in Mg/m³: 1.6
Symmetry: No. 221



The structure with the least stability is #a.



#a
A relaxed structure of KSr3Nb, computed with PBE.

Lattice parameters (Å, degrees): 6.0189 6.0189 6.0189 90.00 90.00 90.00
Closest atoms and distances in Å follow each position.
Sites, in units of the cell vectors:
Nb (0.5000, 0.5000, 0.5000)  12 Sr 4.26
Sr (0.0000, 0.5000, 0.0000)  2 K 3.01
Sr (0.0000, 0.0000, 0.5000)  2 K 3.01
Sr (0.5000, 0.0000, 0.0000)  2 K 3.01
K (0.0000, 0.0000, 0.0000)  6 Sr 3.01

Calculated density in Mg/m³: 3.0
Symmetry: No. 221



#b
A relaxed structure of KSr3Nb, computed with PBE.

Lattice parameters (Å, degrees): 6.1646 6.1646 6.1646 90.00 90.00 90.00
Closest atoms and distances in Å follow each position.
Sites, in units of the cell vectors:
Sr (0.0000, 0.5000, 0.0000)  2 Nb 3.08
Sr (0.0000, 0.0000, 0.5000)  2 Nb 3.08
Sr (0.5000, 0.0000, 0.0000)  2 Nb 3.08
Nb (0.0000, 0.0000, 0.0000)  6 Sr 3.08
K (0.5000, 0.5000, 0.5000)  12 Sr 4.36

Calculated density in Mg/m³: 2.8
Symmetry: No. 221



The structure with the least stability is #a.



#a
A relaxed structure of K2TaNb, computed with PBE.

Lattice parameters (Å, degrees): 5.6090 5.6090 5.6090 60.00 60.00 60.00
Closest atoms and distances in Å follow each position.
Sites, in units of the cell vectors:
Nb (0.0000, 0.0000, 0.0000)  8 K 3.43
K (0.2500, 0.2500, 0.2500)  4 Ta 3.43, 4 Nb 3.43
K (0.7500, 0.7500, 0.7500)  4 Ta 3.43, 4 Nb 3.43
Ta (0.5000, 0.5000, 0.5000)  8 K 3.43

Calculated density in Mg/m³: 4.7
Symmetry: No. 225



#b
A relaxed structure of K2TaNb, computed with PBE.

Lattice parameters (Å, degrees): 12.7372 12.7372 9.3166 46.88 46.88 90.00
Closest atoms and distances in Å follow each position.
Sites, in units of the cell vectors:
K (0.8750, 0.7289, 0.7500)  2 Nb 3.50, 2 Ta 3.88
K (0.4789, 0.1250, 0.2500)  2 Nb 3.50, 2 Ta 3.88
K (0.3750, 0.5211, 0.7500)  2 Nb 3.50, 2 Ta 3.88
K (0.2711, 0.6250, 0.2500)  2 Nb 3.50, 2 Ta 3.88
Nb (0.2500, 0.7500, 0.5000)  2 Ta 2.38
Nb (0.5000, 0.5000, 0.0000)  2 Ta 2.38
Ta (0.7500, 0.2500, 0.5000)  2 Nb 2.38
Ta (0.0000, 0.0000, 0.0000)  2 Nb 2.38

Calculated density in Mg/m³: 3.0
Symmetry: No. 122



The structure with the least stability is #a.